[1]
Compound: Dy4MgSc
Source: the Alexandria database
Functional: PBE-GGA
Structure: relaxed

* symmetry: R-3m
* E_form: 0.365 eV per atom
* calculated volume: 181.7 Å³/f.u.
* ΔE to the lowest computed polymorph: 362 meV per atom
* electronic total energy: -4.024 eV per atom
* magnetic moment: 0.00 μB/atom

a = 5.689 Å, b = 5.689 Å, c = 7.268 Å
α = 66.96°, β = 66.96°, γ = 60.00°
Fractional coordinates of all 6 atoms:
Dy1 0.674 0.674 0.978
Dy2 0.326 0.326 0.022
Dy3 0.148 0.148 0.555
Dy4 0.852 0.852 0.445
Mg1 0.000 0.000 0.000
Sc1 0.500 0.500 0.500

[2]
Compound: Pm8GaPb6
Source: the Alexandria database
Functional: PBE-GGA
Structure: relaxed

* symmetry: R-3
* E_form: -0.433 eV per atom
* calculated volume: 500.6 Å³/f.u.
* electronic total energy: -4.652 eV per atom
* magnetic moment: 0.00 μB/atom

a = 9.488 Å, b = 9.488 Å, c = 8.440 Å
α = 55.80°, β = 55.80°, γ = 60.00°
Fractional coordinates of all 15 atoms:
Pm1 0.647 0.172 0.281
Pm2 0.828 0.100 0.719
Pm3 0.100 0.353 0.719
Pm4 0.670 0.670 0.991
Pm5 0.330 0.330 0.009
Pm6 0.900 0.647 0.281
Pm7 0.172 0.900 0.281
Pm8 0.353 0.828 0.719
Ga1 0.000 0.000 0.000
Pb1 0.454 0.074 0.775
Pb2 0.926 0.303 0.225
Pb3 0.303 0.546 0.225
Pb4 0.697 0.454 0.775
Pb5 0.074 0.697 0.775
Pb6 0.546 0.926 0.225

[3]
Compound: Mn2CoRe
Source: the Alexandria database
Functional: PBE-GGA
Structure: relaxed

* symmetry: P4mm
* E_form: 0.055 eV per atom
* calculated volume: 49.3 Å³/f.u.
* electronic total energy: -9.419 eV per atom
* magnetic moment: 0.18 μB/atom

a = 2.606 Å, b = 2.606 Å, c = 7.259 Å
α = 90.00°, β = 90.00°, γ = 90.00°
Each line ends with the local moment (μB).
Fractional coordinates of all 4 atoms:
Co1 0.500 0.500 0.757  0.35
Mn1 0.000 0.000 0.997  2.36
Mn2 0.500 0.500 0.235  -2.02
Re1 0.000 0.000 0.510  0.05

[4]
Compound: Ni2Te3P
Source: the Alexandria database
Functional: PBE-GGA
Structure: relaxed

* symmetry: P2_1/m
* E_form (uncorrected): -0.0093 eV per atom
* calculated volume: 137.7 Å³/f.u.
* electronic total energy: -4.409 eV per atom
* magnetic moment: 0.00 μB/atom

a = 3.971 Å, b = 6.836 Å, c = 10.539 Å
α = 74.22°, β = 90.00°, γ = 90.00°
Fractional coordinates of all 12 atoms:
Ni1 0.250 0.968 0.423
Ni2 0.750 0.032 0.577
Ni3 0.750 0.583 0.929
Ni4 0.250 0.417 0.071
Te1 0.250 0.467 0.826
Te2 0.750 0.533 0.174
Te3 0.750 0.698 0.488
Te4 0.250 0.302 0.512
Te5 0.750 0.959 0.839
Te6 0.250 0.041 0.161
P1 0.250 0.878 0.665
P2 0.750 0.122 0.335

[5]
Compound: Ce3YAl8
Source: the Alexandria database
Functional: PBE-GGA
Structure: relaxed

* symmetry: R3m
* E_form: -0.470 eV per atom
* calculated volume: 249.5 Å³/f.u.
* ΔE to the lowest computed polymorph: 0 meV per atom
* electronic total energy: -4.987 eV per atom
* magnetic moment: 0.20 μB/atom

a = 5.612 Å, b = 5.612 Å, c = 9.703 Å
α = 73.19°, β = 73.19°, γ = 60.00°
Each line ends with the local moment (μB).
Fractional coordinates of all 12 atoms:
Ce1 0.375 0.375 0.874  0.69
Ce2 0.002 0.002 0.995  0.66
Ce3 0.498 0.498 0.506  0.56
Y1 0.875 0.875 0.375  0.02
Al1 0.936 0.437 0.189  0.00
Al2 0.438 0.938 0.685  0.00
Al3 0.437 0.437 0.189  0.00
Al4 0.938 0.938 0.685  0.00
Al5 0.188 0.188 0.437  0.00
Al6 0.687 0.687 0.939  0.00
Al7 0.437 0.936 0.189  0.00
Al8 0.938 0.438 0.685  0.00

[6]
Compound: MnZn4Cd
Source: the Alexandria database
Functional: PBE-GGA
Structure: relaxed

* symmetry: F-43m
* E_form: 0.104 eV per atom
* calculated volume: 95.3 Å³/f.u.
* electronic total energy: -2.426 eV per atom
* magnetic moment: 0.64 μB/atom

a = 5.127 Å, b = 5.127 Å, c = 5.127 Å
α = 60.00°, β = 60.00°, γ = 60.00°
Each line ends with the local moment (μB).
Fractional coordinates of all 6 atoms:
Mn1 0.000 0.000 0.000  3.74
Zn1 0.878 0.374 0.374  -0.03
Zn2 0.374 0.374 0.878  -0.03
Zn3 0.374 0.878 0.374  -0.03
Zn4 0.374 0.374 0.374  -0.03
Cd1 0.750 0.750 0.750  0.00

[7]
Compound: Tm2ThIn3
Source: the Alexandria database
Functional: PBE-GGA
Structure: relaxed

* symmetry: P4/mmm
* E_form: -0.378 eV per atom
* calculated volume: 159.9 Å³/f.u.
* electronic total energy: -4.475 eV per atom
* magnetic moment: 0.00 μB/atom

a = 3.511 Å, b = 3.511 Å, c = 12.965 Å
α = 90.00°, β = 90.00°, γ = 90.00°
Fractional coordinates of all 6 atoms:
Tm1 0.500 0.500 0.839
Tm2 0.500 0.500 0.161
Th1 0.500 0.500 0.500
In1 0.000 0.000 0.000
In2 0.000 0.000 0.678
In3 0.000 0.000 0.322

[8]
Compound: TbPrEr4Tm2
Source: the Alexandria database
Functional: PBE-GGA
Structure: relaxed

* symmetry: C2/c
* E_form: 0.442 eV per atom
* calculated volume: 261.2 Å³/f.u.
* electronic total energy: -4.133 eV per atom
* magnetic moment: 0.34 μB/atom

a = 9.452 Å, b = 9.452 Å, c = 11.706 Å
α = 128.26°, β = 128.26°, γ = 88.75°
Each line ends with the local moment (μB).
Fractional coordinates of all 16 atoms:
Tb1 0.500 0.500 0.500  0.29
Tb2 0.000 0.000 0.000  0.29
Pr1 0.000 0.500 0.000  0.27
Pr2 0.000 0.500 0.500  0.27
Er1 0.255 0.750 0.002  0.28
Er2 0.750 0.245 0.498  0.28
Er3 0.250 0.755 0.502  0.28
Er4 0.745 0.250 0.998  0.28
Er5 0.746 0.752 0.001  0.27
Er6 0.748 0.754 0.499  0.27
Er7 0.252 0.246 0.501  0.27
Er8 0.254 0.248 0.999  0.27
Tm1 0.500 0.000 0.000  0.21
Tm2 0.500 0.000 0.500  0.21
Tm3 0.000 0.000 0.500  0.26
Tm4 0.500 0.500 0.000  0.26

[9]
Compound: K3RbAu
Source: the Alexandria database
Functional: PBE-GGA
Structure: relaxed

* symmetry: P1
* E_form: -0.131 eV per atom
* calculated volume: 288.7 Å³/f.u.
* ΔE to the lowest computed polymorph: 3 meV per atom
* electronic total energy: -1.638 eV per atom
* magnetic moment: 0.00 μB/atom

a = 8.368 Å, b = 9.211 Å, c = 8.042 Å
α = 105.95°, β = 78.51°, γ = 101.41°
Fractional coordinates of all 10 atoms:
K1 0.844 0.443 0.494
K2 0.971 0.591 0.052
K3 0.503 0.728 0.018
K4 0.275 0.780 0.553
K5 0.543 0.243 0.008
K6 0.036 0.110 0.039
Au1 0.573 0.568 0.320
Au2 0.243 0.462 0.224
Rb1 0.311 0.304 0.552
Rb2 0.787 0.927 0.521

[10]
Compound: TaPt2RhC
Source: the Alexandria database
Functional: PBE-GGA
Structure: relaxed

* symmetry: P4/mmm
* E_form: 0.389 eV per atom
* calculated volume: 73.1 Å³/f.u.
* electronic total energy: -7.713 eV per atom
* magnetic moment: 0.00 μB/atom

a = 4.242 Å, b = 4.242 Å, c = 4.060 Å
α = 90.00°, β = 90.00°, γ = 90.00°
Fractional coordinates of all 5 atoms:
C1 0.000 0.000 0.000
Rh1 0.000 0.000 0.500
Pt1 0.000 0.500 0.000
Pt2 0.500 0.000 0.000
Ta1 0.500 0.500 0.500

[11]
Compound: Th3FePd
Source: the Alexandria database
Functional: PBE-GGA
Structure: relaxed

* symmetry: P2_1/m
* E_form: -0.299 eV per atom
* calculated volume: 132.6 Å³/f.u.
* ΔE to the lowest computed polymorph: 17 meV per atom
* electronic total energy: -7.482 eV per atom
* magnetic moment: 0.00 μB/atom

a = 3.913 Å, b = 8.210 Å, c = 8.455 Å
α = 102.53°, β = 90.00°, γ = 90.00°
Fractional coordinates of all 10 atoms:
Th1 0.750 0.619 0.363
Th2 0.250 0.381 0.637
Th3 0.750 0.308 0.975
Th4 0.250 0.943 0.683
Th5 0.250 0.692 0.025
Th6 0.750 0.057 0.317
Fe1 0.250 0.832 0.335
Fe2 0.750 0.168 0.665
Pd1 0.250 0.328 0.254
Pd2 0.750 0.672 0.746

[12]
Compound: YNi5B3
Source: the Alexandria database
Functional: PBE-GGA
Structure: relaxed

* symmetry: Cmcm
* E_form: -0.361 eV per atom
* calculated volume: 98.5 Å³/f.u.
* electronic total energy: -6.517 eV per atom
* magnetic moment: 0.00 μB/atom

a = 3.440 Å, b = 5.613 Å, c = 10.718 Å
α = 90.00°, β = 90.00°, γ = 107.84°
Fractional coordinates of all 18 atoms:
Y1 0.847 0.693 0.750
Y2 0.153 0.307 0.250
Ni1 0.793 0.586 0.430
Ni2 0.207 0.414 0.930
Ni3 0.000 0.000 0.500
Ni4 0.000 0.000 0.000
Ni5 0.440 0.881 0.143
Ni6 0.560 0.119 0.857
Ni7 0.560 0.119 0.643
Ni8 0.793 0.586 0.070
Ni9 0.207 0.414 0.570
Ni10 0.440 0.881 0.357
B1 0.389 0.779 0.961
B2 0.885 0.769 0.250
B3 0.389 0.779 0.539
B4 0.611 0.221 0.461
B5 0.115 0.231 0.750
B6 0.611 0.221 0.039

[13]
Compound: Pm8Y3Er2
Source: the Alexandria database
Functional: PBE-GGA
Structure: relaxed

* symmetry: P-1
* E_form: 0.070 eV per atom
* calculated volume: 438.2 Å³/f.u.
* ΔE to the lowest computed polymorph: 0 meV per atom
* electronic total energy: -5.048 eV per atom
* magnetic moment: 0.00 μB/atom

a = 11.396 Å, b = 6.163 Å, c = 8.522 Å
α = 108.19°, β = 102.25°, γ = 120.31°
Fractional coordinates of all 13 atoms:
Pm1 0.116 0.376 0.696
Pm2 0.884 0.624 0.304
Pm3 0.263 0.983 0.619
Pm4 0.737 0.017 0.381
Pm5 0.201 0.833 0.165
Pm6 0.355 0.420 0.087
Pm7 0.645 0.580 0.913
Pm8 0.799 0.167 0.835
Y1 0.500 0.000 0.000
Y2 0.032 0.218 0.223
Y3 0.968 0.782 0.777
Er1 0.408 0.621 0.542
Er2 0.592 0.379 0.458

[14]
Compound: KLaY2
Source: the Alexandria database
Functional: PBE-GGA
Structure: relaxed

* symmetry: Cm
* E_form: 0.368 eV per atom
* calculated volume: 155.9 Å³/f.u.
* ΔE to the lowest computed polymorph: 181 meV per atom
* electronic total energy: -4.370 eV per atom
* magnetic moment: 0.00 μB/atom

a = 6.436 Å, b = 6.436 Å, c = 7.084 Å
α = 83.06°, β = 83.06°, γ = 32.39°
Fractional coordinates of all 4 atoms:
K1 0.499 0.499 0.503
La1 0.258 0.258 0.211
Y1 0.002 0.002 0.997
Y2 0.741 0.741 0.789

[15]
Compound: BeAg2W
Source: the Alexandria database
Functional: PBE-GGA
Structure: relaxed

* symmetry: Cmmm
* E_form: 0.714 eV per atom
* calculated volume: 62.8 Å³/f.u.
* electronic total energy: -4.882 eV per atom
* magnetic moment: 0.00 μB/atom

a = 5.154 Å, b = 5.154 Å, c = 2.655 Å
α = 90.00°, β = 90.00°, γ = 117.10°
Fractional coordinates of all 4 atoms:
Be1 0.500 0.000 0.500
Ag1 0.000 0.000 0.000
Ag2 0.500 0.500 0.000
W1 0.000 0.500 0.500

[16]
Compound: Rb2ReF
Source: the Alexandria database
Functional: PBE-GGA
Structure: relaxed

* symmetry: Fm-3m
* E_form (uncorrected): 0.6108 eV per atom
* calculated volume: 141.4 Å³/f.u.
* ΔE to the lowest computed polymorph: 296 meV per atom
* electronic total energy: -3.453 eV per atom
* magnetic moment: 1.00 μB/atom

a = 5.847 Å, b = 5.847 Å, c = 5.847 Å
α = 60.00°, β = 60.00°, γ = 60.00°
Each line ends with the local moment (μB).
Fractional coordinates of all 4 atoms:
Re1 0.500 0.500 0.500  3.22
Rb1 0.250 0.250 0.250  0.01
Rb2 0.750 0.750 0.750  0.01
F1 0.000 0.000 0.000  0.01

[17]
Compound: Tm3CoRh2
Source: the Alexandria database
Functional: PBE-GGA
Structure: relaxed

* symmetry: Cmmm
* E_form: -0.717 eV per atom
* calculated volume: 113.0 Å³/f.u.
* electronic total energy: -6.588 eV per atom
* magnetic moment: 0.07 μB/atom

a = 4.734 Å, b = 7.493 Å, c = 6.714 Å
α = 90.00°, β = 90.00°, γ = 71.59°
Each line ends with the local moment (μB).
Fractional coordinates of all 12 atoms:
Tm1 0.832 0.337 0.754  -0.10
Tm2 0.500 0.000 0.248  -0.08
Tm3 0.168 0.663 0.246  -0.10
Tm4 0.832 0.337 0.246  -0.10
Tm5 0.168 0.663 0.754  -0.10
Tm6 0.500 0.000 0.752  -0.08
Co1 0.333 0.334 0.000  0.72
Co2 0.667 0.666 0.000  0.72
Rh1 0.000 0.000 0.000  0.10
Rh2 0.000 0.000 0.500  -0.07
Rh3 0.334 0.332 0.500  0.02
Rh4 0.666 0.668 0.500  0.02

[18]
Compound: ScPaCuPd
Source: the Alexandria database
Functional: PBE-GGA
Structure: relaxed

* symmetry: F-43m
* E_form: -0.249 eV per atom
* calculated volume: 79.4 Å³/f.u.
* electronic total energy: -6.528 eV per atom
* magnetic moment: 0.00 μB/atom

a = 4.824 Å, b = 4.824 Å, c = 4.824 Å
α = 60.00°, β = 60.00°, γ = 60.00°
Fractional coordinates of all 4 atoms:
Sc1 0.500 0.500 0.500
Pa1 0.000 0.000 0.000
Cu1 0.250 0.250 0.250
Pd1 0.750 0.750 0.750

[19]
Compound: PmSc3Hg6
Source: the Alexandria database
Functional: PBE-GGA
Structure: relaxed

* symmetry: P2_1/m
* E_form: -0.372 eV per atom
* calculated volume: 231.8 Å³/f.u.
* electronic total energy: -2.928 eV per atom
* magnetic moment: 0.00 μB/atom

a = 5.007 Å, b = 8.898 Å, c = 10.857 Å
α = 106.62°, β = 90.00°, γ = 90.00°
Fractional coordinates of all 20 atoms:
Pm1 0.250 0.933 0.617
Pm2 0.750 0.067 0.383
Sc1 0.250 0.513 0.393
Sc2 0.750 0.487 0.607
Sc3 0.250 0.350 0.814
Sc4 0.750 0.650 0.186
Sc5 0.250 0.762 0.000
Sc6 0.750 0.238 0.000
Hg1 0.250 0.464 0.097
Hg2 0.750 0.536 0.903
Hg3 0.250 0.149 0.213
Hg4 0.750 0.851 0.787
Hg5 0.250 0.629 0.714
Hg6 0.750 0.371 0.286
Hg7 0.250 0.265 0.531
Hg8 0.750 0.735 0.469
Hg9 0.250 0.814 0.303
Hg10 0.750 0.186 0.697
Hg11 0.250 0.065 0.917
Hg12 0.750 0.935 0.083

[20]
Compound: Er2SnHRh6
Source: the Alexandria database
Functional: PBE-GGA
Structure: relaxed

* symmetry: C2/m
* calculated volume: 170.4 Å³/f.u.
* electronic total energy: -6.464 eV per atom
* magnetic moment: 0.00 μB/atom

a = 6.232 Å, b = 6.229 Å, c = 6.471 Å
α = 58.65°, β = 58.60°, γ = 89.76°
Fractional coordinates of all 10 atoms:
Er1 0.743 0.257 0.500
Er2 0.257 0.743 0.500
Sn1 0.000 0.000 0.000
H1 0.500 0.500 0.000
Rh1 0.271 0.271 0.436
Rh2 0.729 0.729 0.980
Rh3 0.283 0.717 0.000
Rh4 0.717 0.283 0.000
Rh5 0.271 0.271 0.020
Rh6 0.729 0.729 0.564

[21]
Compound: BaLi2Pt
Source: the Alexandria database
Functional: PBE-GGA
Structure: relaxed

* symmetry: P4/mmm
* E_form: -0.213 eV per atom
* calculated volume: 99.7 Å³/f.u.
* ΔE to the lowest computed polymorph: 230 meV per atom
* electronic total energy: -3.161 eV per atom
* magnetic moment: 0.00 μB/atom

a = 4.428 Å, b = 4.433 Å, c = 5.081 Å
α = 90.00°, β = 90.00°, γ = 90.00°
Fractional coordinates of all 4 atoms:
Ba1 0.000 0.500 0.500
Li1 0.000 0.000 0.000
Li2 0.500 0.500 0.000
Pt1 0.500 0.000 0.500

[22]
Compound: AgAu2Br
Source: the Alexandria database
Functional: PBE-GGA
Structure: relaxed

* symmetry: Cm
* E_form (uncorrected): 0.0891 eV per atom
* calculated volume: 99.2 Å³/f.u.
* ΔE to the lowest computed polymorph: 55 meV per atom
* electronic total energy: -2.681 eV per atom
* magnetic moment: 0.00 μB/atom

a = 4.695 Å, b = 4.695 Å, c = 6.470 Å
α = 85.49°, β = 85.49°, γ = 44.26°
Fractional coordinates of all 4 atoms:
Au1 0.966 0.966 0.999
Au2 0.692 0.692 0.837
Br1 0.592 0.592 0.470
Ag1 0.250 0.250 0.194

[23]
Compound: NaDy2BiO6
Source: the Alexandria database
Functional: PBE-GGA
Structure: relaxed

* symmetry: R3
* E_form (uncorrected): -2.3414 eV per atom
* calculated volume: 149.7 Å³/f.u.
* electronic total energy: -6.757 eV per atom
* magnetic moment: 0.00 μB/atom

a = 5.793 Å, b = 5.792 Å, c = 6.142 Å
α = 61.86°, β = 61.86°, γ = 60.00°
Fractional coordinates of all 10 atoms:
Na1 0.798 0.798 0.606
Dy1 0.524 0.524 0.429
Dy2 0.020 0.020 0.941
Bi1 0.318 0.318 0.045
O1 0.593 0.229 0.238
O2 0.229 0.939 0.238
O3 0.939 0.593 0.238
O4 0.388 0.703 0.760
O5 0.703 0.148 0.760
O6 0.148 0.388 0.760